1.
Compound: PrZnRh
Source: Alexandria via LeMat-Bulk
Functional: PBE
Structure: relaxed

Geometry as POSCAR:
```
PrZnRh
1.0
4.3884 0.0000 0.0000
-2.1942 3.8004 0.0000
0.0000 0.0000 3.8882
Pr Zn Rh
1 1 1
direct
0.0000 0.0000 0.0000
0.3333 0.6667 0.5000
0.6667 0.3333 0.5000
```

Size of the total moment in Bohr magnetons per cell: 0.0
Space-group type: No. 187
Density of states at the Fermi level in states/eV/f.u.: 1.44
Crystal system: hexagonal
Formation enthalpy at 0 K in kcal/mol of atoms: -12.77
Electronic total energy in eV per atom: -5.02

=====

2.
Compound: Rb2AlCl
Source: Alexandria via LeMat-Bulk
Functional: PBE
Structure: relaxed

Geometry as POSCAR:
```
Rb2AlCl
1.0
0.0000 4.3610 4.3610
4.3610 0.0000 4.3610
4.3610 4.3610 0.0000
Rb Al Cl
2 1 1
direct
0.2500 0.2500 0.2500
0.7500 0.7500 0.7500
0.0000 0.0000 0.0000
0.5000 0.5000 0.5000
```

Formation energy (no corrections) in eV/atom: -0.283
Size of the total moment in Bohr magnetons per cell: 2.0
Energy relative to the lowest polymorph listed for this composition in eV/f.u.: 0.44
Space-group type: No. 225
Density of states at the Fermi level in states/eV/f.u.: 6.47
Crystal system: cubic
Electronic total energy in eV per atom: -2.16

=====

3.
Compound: InTeRu2
Source: Alexandria via LeMat-Bulk
Functional: PBE
Structure: relaxed

Geometry as POSCAR:
```
InTeRu2
1.0
-1.6143 1.9977 5.8427
1.6143 -1.9977 5.8427
1.6143 1.9977 -5.8427
In Te Ru
1 1 2
direct
0.0000 0.0000 0.0000
0.7518 0.2518 0.5000
0.3256 0.8256 0.5000
0.5785 0.5785 0.0000
```

Formation energy (no corrections) in eV/atom: 0.230
Size of the total moment in Bohr magnetons per cell: 0.0
Energy relative to the lowest polymorph listed for this composition in eV/f.u.: 0.25
Space-group type: No. 44
Density of states at the Fermi level in states/eV/f.u.: 3.05
Crystal system: orthorhombic
Electronic total energy in eV per atom: -5.88